Entry from Alexandria: a relaxed Sr3Cu crystal (PBE-GGA).

Results
**Size of the total moment**: 0.00 Bohr magnetons per cell
**Uncorrected energy**: -2.23 eV per atom
**Calculated density**: 3.186 g/cm3

Cell lengths 4.1511, 7.7057, 10.6355 Å; angles 90.00, 90.00, 90.00 degrees
Sites, in units of the cell vectors:
Sr1 0.0000 0.2565 0.1707
Sr2 0.5000 0.0000 0.4690
Sr3 0.5000 0.7565 0.8293
Sr4 0.0000 0.5000 0.5310
Sr5 0.5000 0.2435 0.8293
Sr6 0.0000 0.7435 0.1707
Cu1 0.5000 0.5000 0.3117
Cu2 0.0000 0.0000 0.6883



Entry from Alexandria: a relaxed SrCu5 crystal (PBE-GGA).

Results
**Size of the total moment**: 0.00 Bohr magnetons per cell
**Uncorrected energy**: -3.76 eV per atom
**Calculated density**: 6.916 g/cm3

Cell lengths 5.2880, 5.2880, 4.0191 Å; angles 90.00, 90.00, 120.00 degrees
Sites, in units of the cell vectors:
Cu1 0.0000 0.3333 0.5000
Cu2 0.6667 0.6667 0.5000
Cu3 0.3333 0.5002 0.0000
Cu4 0.8331 0.4998 0.0000
Cu5 0.8335 0.0000 0.0000
Sr1 0.3333 0.0000 0.5000



Entry from Alexandria: a relaxed SrCu12 crystal (PBE-GGA).

Results
**Size of the total moment**: 0.00 Bohr magnetons per cell
**Uncorrected energy**: -3.92 eV per atom
**Calculated density**: 7.795 g/cm3

Cell lengths 4.8600, 6.5702, 6.5702 Å; angles 82.14, 68.29, 68.29 degrees
Sites, in units of the cell vectors:
Cu1 0.3577 0.6423 0.6423
Cu2 0.0000 0.5000 0.0000
Cu3 0.2623 0.2377 0.2377
Cu4 0.5000 0.5000 0.0000
Cu5 0.5000 0.7623 0.2377
Cu6 0.0000 0.6423 0.3577
Cu7 0.6423 0.3577 0.3577
Cu8 0.0000 0.0000 0.5000
Cu9 0.5000 0.0000 0.5000
Cu10 0.7377 0.7623 0.7623
Cu11 0.5000 0.2377 0.7623
Cu12 0.0000 0.3577 0.6423
Sr1 0.0000 0.0000 0.0000



Entry from Alexandria: a relaxed SrCu2 crystal (PBE-GGA).

Results
**Size of the total moment**: 0.00 Bohr magnetons per cell
**Uncorrected energy**: -3.27 eV per atom
**Calculated density**: 5.878 g/cm3

Cell lengths 5.7261, 5.7261, 17.0900 Å; angles 90.00, 90.00, 120.00 degrees
Sites, in units of the cell vectors:
Sr1 0.0000 0.0000 0.8993
Sr2 0.6667 0.3333 0.8464
Sr3 0.3333 0.6667 0.1536
Sr4 0.0000 0.0000 0.3993
Sr5 0.3333 0.6667 0.3464
Sr6 0.6667 0.3333 0.6536
Sr7 0.0000 0.0000 0.6007
Sr8 0.0000 0.0000 0.1007
Cu1 0.5000 0.5000 0.0000
Cu2 0.3764 0.1882 0.2500
Cu3 0.8118 0.6236 0.2500
Cu4 0.0000 0.5000 0.0000
Cu5 0.6667 0.3333 0.1178
Cu6 0.3333 0.6667 0.8822
Cu7 0.1882 0.8118 0.7500
Cu8 0.8118 0.1882 0.2500
Cu9 0.3333 0.6667 0.6178
Cu10 0.1882 0.3764 0.7500
Cu11 0.6667 0.3333 0.3822
Cu12 0.5000 0.5000 0.5000
Cu13 0.0000 0.5000 0.5000
Cu14 0.6236 0.8118 0.7500
Cu15 0.5000 0.0000 0.5000
Cu16 0.5000 0.0000 0.0000



Entry from Alexandria: a relaxed Sr3Cu4 crystal (PBE-GGA).

Results
**Size of the total moment**: 0.00 Bohr magnetons per cell
**Uncorrected energy**: -3.11 eV per atom
**Calculated density**: 4.979 g/cm3

Cell lengths 4.4980, 6.0026, 13.7912 Å; angles 90.00, 90.01, 112.14 degrees
Sites, in units of the cell vectors:
Sr1 0.7301 0.4624 0.3963
Sr2 0.9865 0.9710 0.7505
Sr3 0.2711 0.5415 0.8962
Sr4 0.0147 0.0326 0.2504
Sr5 0.2713 0.5417 0.6045
Sr6 0.7298 0.4622 0.1044
Cu1 0.0031 0.0043 0.5001
Cu2 0.6746 0.3463 0.7502
Cu3 0.4444 0.8892 0.0814
Cu4 0.0025 0.0038 0.0005
Cu5 0.5581 0.1149 0.9194
Cu6 0.5585 0.1153 0.5815
Cu7 0.3265 0.6573 0.2502
Cu8 0.4450 0.8896 0.4194



Entry from Alexandria: a relaxed SrCu2 crystal (PBE-GGA).

Results
**Size of the total moment**: 0.00 Bohr magnetons per cell
**Uncorrected energy**: -2.92 eV per atom
**Calculated density**: 5.361 g/cm3

Cell lengths 3.1821, 5.4167, 7.7175 Å; angles 90.00, 90.00, 90.00 degrees
Sites, in units of the cell vectors:
Cu1 0.2339 0.0000 0.6251
Cu2 0.7339 0.5000 0.8749
Cu3 0.2661 0.5000 0.1251
Cu4 0.7661 0.0000 0.3749
Sr1 0.0000 0.0000 0.0000
Sr2 0.5000 0.5000 0.5000



Entry from Alexandria: a relaxed SrCu crystal (PBE-GGA).

Results
**Size of the total moment**: 0.00 Bohr magnetons per cell
**Uncorrected energy**: -2.78 eV per atom
**Calculated density**: 4.095 g/cm3

Cell lengths 6.3264, 6.3264, 6.1258 Å; angles 90.00, 90.00, 90.00 degrees
Sites, in units of the cell vectors:
Cu1 0.3578 0.6422 0.0000
Cu2 0.6422 0.3578 0.0000
Cu3 0.8578 0.8578 0.5000
Cu4 0.1422 0.1422 0.5000
Sr1 0.6982 0.3018 0.5000
Sr2 0.1982 0.1982 0.0000
Sr3 0.8018 0.8018 0.0000
Sr4 0.3018 0.6982 0.5000



Entry from Alexandria: a relaxed SrCu crystal (PBE-GGA).

Results
**Size of the total moment**: 0.48 Bohr magnetons per cell
**Uncorrected energy**: -2.39 eV per atom
**Calculated density**: 3.050 g/cm3

Cell lengths 4.8826, 4.8826, 4.8826 Å; angles 60.00, 60.00, 60.00 degrees
Sites, in units of the cell vectors:
Cu1 0.0000 0.0000 0.0000
Sr1 0.2500 0.2500 0.2500



Entry from Alexandria: a relaxed SrCu crystal (PBE-GGA).

Results
**Size of the total moment**: 0.00 Bohr magnetons per cell
**Uncorrected energy**: -2.84 eV per atom
**Calculated density**: 4.236 g/cm3

Cell lengths 7.7414, 9.9473, 12.3131 Å; angles 90.00, 90.00, 90.00 degrees
Sites, in units of the cell vectors:
Sr1 0.5000 0.2095 0.5000
Sr2 0.0000 0.2095 0.0000
Sr3 0.5000 0.2905 0.0000
Sr4 0.7500 0.5405 0.7500
Sr5 0.0000 0.2905 0.5000
Sr6 0.0000 0.7905 0.0000
Sr7 0.2500 0.4595 0.7500
Sr8 0.0000 0.7095 0.5000
Sr9 0.7500 0.4595 0.2500
Sr10 0.2500 0.5405 0.2500
Sr11 0.7500 0.0405 0.2500
Sr12 0.7500 0.9595 0.7500
Sr13 0.5000 0.7905 0.5000
Sr14 0.5000 0.7095 0.0000
Sr15 0.2500 0.9595 0.2500
Sr16 0.2500 0.0405 0.7500
Cu1 0.1584 0.0000 0.5000
Cu2 0.5916 0.2500 0.7500
Cu3 0.4084 0.7500 0.7500
Cu4 0.8416 0.5000 0.0000
Cu5 0.5916 0.7500 0.2500
Cu6 0.6584 0.5000 0.5000
Cu7 0.3416 0.5000 0.5000
Cu8 0.1584 0.5000 0.0000
Cu9 0.0916 0.2500 0.2500
Cu10 0.6584 0.0000 0.0000
Cu11 0.9084 0.2500 0.7500
Cu12 0.4084 0.2500 0.2500
Cu13 0.0916 0.7500 0.7500
Cu14 0.8416 0.0000 0.5000
Cu15 0.3416 0.0000 0.0000
Cu16 0.9084 0.7500 0.2500



Entry from Alexandria: a relaxed SrCu crystal (PBE-GGA).

Results
**Size of the total moment**: 0.00 Bohr magnetons per cell
**Uncorrected energy**: -2.72 eV per atom
**Calculated density**: 4.008 g/cm3

Cell lengths 4.2181, 4.2181, 8.1294 Å; angles 90.00, 90.00, 120.00 degrees
Sites, in units of the cell vectors:
Cu1 0.3333 0.6667 0.2500
Cu2 0.6667 0.3333 0.7500
Sr1 0.0000 0.0000 0.5000
Sr2 0.0000 0.0000 0.0000



Entry from Alexandria: a relaxed SrCu crystal (PBE-GGA).

Results
**Size of the total moment**: 0.00 Bohr magnetons per cell
**Uncorrected energy**: -3.00 eV per atom
**Calculated density**: 3.984 g/cm3

Cell lengths 4.3103, 4.3102, 15.6633 Å; angles 90.00, 90.00, 120.00 degrees
Sites, in units of the cell vectors:
Sr1 0.6667 0.3334 0.3795
Sr2 0.6667 0.3334 0.1205
Sr3 0.3333 0.6666 0.6205
Sr4 0.3333 0.6666 0.8795
Cu1 0.6666 0.3333 0.7500
Cu2 0.0000 0.9999 0.7500
Cu3 0.3334 0.6667 0.2500
Cu4 0.0000 0.0001 0.2500



Entry from Alexandria: a relaxed Sr3Cu crystal (PBE-GGA).

Results
**Size of the total moment**: 0.00 Bohr magnetons per cell
**Uncorrected energy**: -2.23 eV per atom
**Calculated density**: 3.132 g/cm3

Cell lengths 4.2372, 4.2372, 11.1293 Å; angles 90.00, 90.00, 120.00 degrees
Sites, in units of the cell vectors:
Sr1 0.6667 0.3333 0.1782
Sr2 0.0000 0.0000 0.5000
Sr3 0.6667 0.3333 0.8218
Cu1 0.0000 0.0000 0.0000



calculated density of number 3 (SrCu12)?
7.795 g/cm3